# 1
The following is a DFT calculation (GGA-PBE) of an optimized crystal structure of SrCeIn4.

Structure (CIF):
```
data_SrCeIn4
_chemical_formula_sum 'Sr1 Ce1 In4'
_cell_length_a 6.1960
_cell_length_b 6.1960
_cell_length_c 6.1960
_cell_angle_alpha 60.00
_cell_angle_beta 60.00
_cell_angle_gamma 60.00
_space_group_name_H-M_alt 'P 1'
_space_group_IT_number 1
_space_group_name_Hall 'P 1'
loop_
_atom_site_label
_atom_site_type_symbol
_atom_site_fract_x
_atom_site_fract_y
_atom_site_fract_z
_atom_site_occupancy
Sr1 Sr 0.2500 0.2500 0.2500 1
Ce1 Ce 0.0000 0.0000 0.0000 1
In1 In 0.6255 0.6255 0.1235 1
In2 In 0.6255 0.1235 0.6255 1
In3 In 0.6255 0.6255 0.6255 1
In4 In 0.1235 0.6255 0.6255 1
```

Computed properties:
space group: F-43m, No. 216
relative energy among the computed polymorphs: 4.5 kJ/mol of atoms
DOS(E_F): 10.7 states/eV/cell
DFT formation energy: -184 kJ/mol of formula units

# 2
The following is a DFT calculation (GGA-PBE) of an optimized crystal structure of Ca3Dy3PuSe8.

Structure (CIF):
```
data_Ca3Dy3PuSe8
_chemical_formula_sum 'Ca3 Dy3 Pu1 Se8'
_cell_length_a 8.2246
_cell_length_b 8.2260
_cell_length_c 8.3227
_cell_angle_alpha 119.62
_cell_angle_beta 90.00
_cell_angle_gamma 119.99
_space_group_name_H-M_alt 'P 1'
_space_group_IT_number 1
_space_group_name_Hall 'P 1'
loop_
_atom_site_label
_atom_site_type_symbol
_atom_site_fract_x
_atom_site_fract_y
_atom_site_fract_z
_atom_site_occupancy
Ca1 Ca 0.0000 0.0000 0.0000 1
Ca2 Ca 0.0000 0.5000 0.0000 1
Ca3 Ca 0.5000 0.5000 0.0000 1
Dy1 Dy 0.5000 0.0000 0.5000 1
Dy2 Dy 0.5000 0.5000 0.5000 1
Dy3 Dy 0.0000 0.5000 0.5000 1
Pu1 Pu 0.0000 0.0000 0.5000 1
Se1 Se 0.2518 0.5037 0.2557 1
Se2 Se 0.7482 0.4963 0.7443 1
Se3 Se 0.7482 0.4963 0.2549 1
Se4 Se 0.2518 0.5037 0.7451 1
Se5 Se 0.7484 0.0070 0.2556 1
Se6 Se 0.2516 0.9930 0.7444 1
Se7 Se 0.2586 0.0070 0.2556 1
Se8 Se 0.7414 0.9930 0.7444 1
```

Computed properties:
space group: R-3m, No. 166
raw formation energy: -1843 meV/atom
DOS(E_F): 16.6 states/eV/cell

# 3
The following is a DFT calculation (GGA-PBE) of an optimized crystal structure of KAlSi3O8.

Structure (CIF):
```
data_KAlSi3O8
_chemical_formula_sum 'K1 Al1 Si3 O8'
_cell_length_a 6.7641
_cell_length_b 6.7641
_cell_length_c 9.4374
_cell_angle_alpha 46.92
_cell_angle_beta 46.92
_cell_angle_gamma 23.49
_space_group_name_H-M_alt 'P 1'
_space_group_IT_number 1
_space_group_name_Hall 'P 1'
loop_
_atom_site_label
_atom_site_type_symbol
_atom_site_fract_x
_atom_site_fract_y
_atom_site_fract_z
_atom_site_occupancy
K1 K 0.5009 0.5009 0.9949 1
Al1 Al 0.3489 0.3489 0.8157 1
Si1 Si 0.6525 0.6525 0.1791 1
Si2 Si 0.1682 0.1682 0.4810 1
Si3 Si 0.8373 0.8373 0.5159 1
O1 O 0.5502 0.5502 0.6140 1
O2 O 0.4590 0.4590 0.3803 1
O3 O 0.1635 0.1635 0.2974 1
O4 O 0.8317 0.8317 0.7020 1
O5 O 0.1417 0.1417 0.0680 1
O6 O 0.8378 0.8378 0.9643 1
O7 O 0.2085 0.2085 0.6314 1
O8 O 0.7997 0.7997 0.3559 1
```

Computed properties:
space group: Cm, No. 8
relative energy among the computed polymorphs: 18.2 kJ/mol of atoms
raw formation energy: -2629 meV/atom
DOS(E_F): 0.0 states/eV/cell

# 4
The following is a DFT calculation (GGA-PBE) of an optimized crystal structure of Sm3AlSe6.

Structure (CIF):
```
data_Sm3AlSe6
_chemical_formula_sum 'Sm6 Al2 Se12'
_cell_length_a 6.8700
_cell_length_b 9.0875
_cell_length_c 9.0875
_cell_angle_alpha 102.35
_cell_angle_beta 90.00
_cell_angle_gamma 90.00
_space_group_name_H-M_alt 'P 1'
_space_group_IT_number 1
_space_group_name_Hall 'P 1'
loop_
_atom_site_label
_atom_site_type_symbol
_atom_site_fract_x
_atom_site_fract_y
_atom_site_fract_z
_atom_site_occupancy
Sm1 Sm 0.4856 0.9154 0.7182 1
Sm2 Sm 0.9856 0.7182 0.9154 1
Sm3 Sm 0.3871 0.4018 0.5982 1
Sm4 Sm 0.8871 0.5982 0.4018 1
Sm5 Sm 0.9856 0.0846 0.2818 1
Sm6 Sm 0.4856 0.2818 0.0846 1
Al1 Al 0.0245 0.2007 0.7993 1
Al2 Al 0.5245 0.7993 0.2007 1
Se1 Se 0.1855 0.6940 0.6309 1
Se2 Se 0.6855 0.6309 0.6940 1
Se3 Se 0.1961 0.4309 0.9006 1
Se4 Se 0.6961 0.9006 0.4309 1
Se5 Se 0.1634 0.0414 0.9586 1
Se6 Se 0.6758 0.2184 0.7816 1
Se7 Se 0.1758 0.7816 0.2184 1
Se8 Se 0.6634 0.9586 0.0414 1
Se9 Se 0.1961 0.0994 0.5691 1
Se10 Se 0.6961 0.5691 0.0994 1
Se11 Se 0.1855 0.3691 0.3060 1
Se12 Se 0.6855 0.3060 0.3691 1
```

Computed properties:
space group: Cmc2_1, No. 36
raw formation energy: -1638 meV/atom
DOS(E_F): 0.0 states/eV/cell

# 5
The following is a DFT calculation (GGA-PBE) of an optimized crystal structure of Pa2Zn3Ga2.

Structure (CIF):
```
data_Pa2Zn3Ga2
_chemical_formula_sum 'Pa2 Zn3 Ga2'
_cell_length_a 4.3312
_cell_length_b 5.5830
_cell_length_c 6.4576
_cell_angle_alpha 109.62
_cell_angle_beta 90.00
_cell_angle_gamma 112.82
_space_group_name_H-M_alt 'P 1'
_space_group_IT_number 1
_space_group_name_Hall 'P 1'
loop_
_atom_site_label
_atom_site_type_symbol
_atom_site_fract_x
_atom_site_fract_y
_atom_site_fract_z
_atom_site_occupancy
Pa1 Pa 0.8465 0.6929 0.2242 1
Pa2 Pa 0.1535 0.3071 0.7758 1
Zn1 Zn 0.5000 0.0000 0.0000 1
Zn2 Zn 0.5928 0.1856 0.4218 1
Zn3 Zn 0.4072 0.8144 0.5782 1
Ga1 Ga 0.8496 0.6992 0.7474 1
Ga2 Ga 0.1504 0.3008 0.2526 1
```

Computed properties:
space group: C2/m, No. 12
relative energy among the computed polymorphs: 0.0 kJ/mol of atoms
DOS(E_F): 6.4 states/eV/cell
DFT formation energy: -131 kJ/mol of formula units

# 6
The following is a DFT calculation (GGA-PBE) of an optimized crystal structure of Hg2BiH4.

Structure (CIF):
```
data_Hg2BiH4
_chemical_formula_sum 'Hg2 Bi1 H4'
_cell_length_a 4.1265
_cell_length_b 4.1265
_cell_length_c 7.6877
_cell_angle_alpha 74.43
_cell_angle_beta 74.43
_cell_angle_gamma 90.00
_space_group_name_H-M_alt 'P 1'
_space_group_IT_number 1
_space_group_name_Hall 'P 1'
loop_
_atom_site_label
_atom_site_type_symbol
_atom_site_fract_x
_atom_site_fract_y
_atom_site_fract_z
_atom_site_occupancy
H1 H 0.8578 0.8578 0.2844 1
H2 H 0.1422 0.1422 0.7156 1
H3 H 0.0000 0.5000 0.0000 1
H4 H 0.5000 0.0000 0.0000 1
Bi1 Bi 0.0000 0.0000 0.0000 1
Hg1 Hg 0.6928 0.6928 0.6145 1
Hg2 Hg 0.3073 0.3073 0.3855 1
```

Computed properties:
space group: I4/mmm, No. 139
DOS(E_F): 2.4 states/eV/cell
raw total energy: -2.056 eV per atom

# 7
The following is a DFT calculation (GGA-PBE) of an optimized crystal structure of SnWC3.

Structure (CIF):
```
data_SnWC3
_chemical_formula_sum 'Sn1 W1 C3'
_cell_length_a 4.1619
_cell_length_b 4.1619
_cell_length_c 4.1619
_cell_angle_alpha 90.00
_cell_angle_beta 90.00
_cell_angle_gamma 90.00
_space_group_name_H-M_alt 'P 1'
_space_group_IT_number 1
_space_group_name_Hall 'P 1'
loop_
_atom_site_label
_atom_site_type_symbol
_atom_site_fract_x
_atom_site_fract_y
_atom_site_fract_z
_atom_site_occupancy
C1 C 0.0000 0.5000 0.0000 1
C2 C 0.0000 0.0000 0.5000 1
C3 C 0.5000 0.0000 0.0000 1
Sn1 Sn 0.5000 0.5000 0.5000 1
W1 W 0.0000 0.0000 0.0000 1
```

Computed properties:
space group: Pm-3m, No. 221
relative energy among the computed polymorphs: 0.0 kJ/mol of atoms
DOS(E_F): 3.0 states/eV/cell
DFT formation energy: 800 kJ/mol of formula units

# 8
The following is a DFT calculation (GGA-PBE) of an optimized crystal structure of LiSmYFe.

Structure (CIF):
```
data_LiSmYFe
_chemical_formula_sum 'Li1 Sm1 Y1 Fe1'
_cell_length_a 4.9072
_cell_length_b 4.9072
_cell_length_c 4.9072
_cell_angle_alpha 60.00
_cell_angle_beta 60.00
_cell_angle_gamma 60.00
_space_group_name_H-M_alt 'P 1'
_space_group_IT_number 1
_space_group_name_Hall 'P 1'
loop_
_atom_site_label
_atom_site_type_symbol
_atom_site_fract_x
_atom_site_fract_y
_atom_site_fract_z
_atom_site_occupancy
Y1 Y 0.7500 0.7500 0.7500 1
Fe1 Fe 0.5000 0.5000 0.5000 1
Sm1 Sm 0.2500 0.2500 0.2500 1
Li1 Li 0.0000 0.0000 0.0000 1
```

Computed properties:
space group: F-43m, No. 216
DOS(E_F): 2.9 states/eV/cell
DFT formation energy: 49 kJ/mol of formula units

# 9
The following is a DFT calculation (GGA-PBE) of an optimized crystal structure of Na2Nd3Hg8.

Structure (CIF):
```
data_Na2Nd3Hg8
_chemical_formula_sum 'Na2 Nd3 Hg8'
_cell_length_a 6.1151
_cell_length_b 6.1151
_cell_length_c 11.8532
_cell_angle_alpha 75.05
_cell_angle_beta 75.05
_cell_angle_gamma 60.00
_space_group_name_H-M_alt 'P 1'
_space_group_IT_number 1
_space_group_name_Hall 'P 1'
loop_
_atom_site_label
_atom_site_type_symbol
_atom_site_fract_x
_atom_site_fract_y
_atom_site_fract_z
_atom_site_occupancy
Na1 Na 0.6293 0.6293 0.1122 1
Na2 Na 0.3707 0.3707 0.8878 1
Nd1 Nd 0.0000 0.0000 0.0000 1
Nd2 Nd 0.8065 0.8065 0.5806 1
Nd3 Nd 0.1935 0.1935 0.4194 1
Hg1 Hg 0.7125 0.7125 0.8624 1
Hg2 Hg 0.2875 0.2875 0.1376 1
Hg3 Hg 0.2222 0.7266 0.3246 1
Hg4 Hg 0.7266 0.2222 0.3246 1
Hg5 Hg 0.7266 0.7266 0.3246 1
Hg6 Hg 0.2734 0.7778 0.6754 1
Hg7 Hg 0.7778 0.2734 0.6754 1
Hg8 Hg 0.2734 0.2734 0.6754 1
```

Computed properties:
space group: R-3m, No. 166
DOS(E_F): 9.0 states/eV/cell
DFT formation energy: -165 kJ/mol of formula units

# 10
The following is a DFT calculation (GGA-PBE) of an optimized crystal structure of SmZrGaAg.

Structure (CIF):
```
data_SmZrGaAg
_chemical_formula_sum 'Sm1 Zr1 Ga1 Ag1'
_cell_length_a 5.0192
_cell_length_b 5.0192
_cell_length_c 5.0192
_cell_angle_alpha 60.00
_cell_angle_beta 60.00
_cell_angle_gamma 60.00
_space_group_name_H-M_alt 'P 1'
_space_group_IT_number 1
_space_group_name_Hall 'P 1'
loop_
_atom_site_label
_atom_site_type_symbol
_atom_site_fract_x
_atom_site_fract_y
_atom_site_fract_z
_atom_site_occupancy
Zr1 Zr 0.5000 0.5000 0.5000 1
Ga1 Ga 0.7500 0.7500 0.7500 1
Ag1 Ag 0.2500 0.2500 0.2500 1
Sm1 Sm 0.0000 0.0000 0.0000 1
```

Computed properties:
space group: F-43m, No. 216
DOS(E_F): 3.2 states/eV/cell
DFT formation energy: -103 kJ/mol of formula units

# 11
The following is a DFT calculation (GGA-PBE) of an optimized crystal structure of ScGeHRu.

Structure (CIF):
```
data_ScGeHRu
_chemical_formula_sum 'Sc2 Ge2 H2 Ru2'
_cell_length_a 3.9765
_cell_length_b 3.9765
_cell_length_c 6.8963
_cell_angle_alpha 90.00
_cell_angle_beta 90.00
_cell_angle_gamma 90.00
_space_group_name_H-M_alt 'P 1'
_space_group_IT_number 1
_space_group_name_Hall 'P 1'
loop_
_atom_site_label
_atom_site_type_symbol
_atom_site_fract_x
_atom_site_fract_y
_atom_site_fract_z
_atom_site_occupancy
Sc1 Sc 0.5000 0.0000 0.6520 1
Sc2 Sc 0.0000 0.5000 0.3480 1
Ge1 Ge 0.0000 0.5000 0.7893 1
Ge2 Ge 0.5000 0.0000 0.2107 1
H1 H 0.0000 0.0000 0.5000 1
H2 H 0.5000 0.5000 0.5000 1
Ru1 Ru 0.5000 0.5000 0.0000 1
Ru2 Ru 0.0000 0.0000 0.0000 1
```

Computed properties:
space group: P4/nmm, No. 129
DOS(E_F): 4.5 states/eV/cell
raw total energy: -6.431 eV per atom

# 12
The following is a DFT calculation (GGA-PBE) of an optimized crystal structure of DyCuSe2.

Structure (CIF):
```
data_DyCuSe2
_chemical_formula_sum 'Dy1 Cu1 Se2'
_cell_length_a 4.0670
_cell_length_b 4.0670
_cell_length_c 7.6258
_cell_angle_alpha 74.53
_cell_angle_beta 74.53
_cell_angle_gamma 60.00
_space_group_name_H-M_alt 'P 1'
_space_group_IT_number 1
_space_group_name_Hall 'P 1'
loop_
_atom_site_label
_atom_site_type_symbol
_atom_site_fract_x
_atom_site_fract_y
_atom_site_fract_z
_atom_site_occupancy
Dy1 Dy 0.4910 0.4910 0.5270 1
Cu1 Cu 0.7262 0.7262 0.8214 1
Se1 Se 0.0564 0.0564 0.8308 1
Se2 Se 0.2264 0.2264 0.3208 1
```

Computed properties:
space group: R3m, No. 160
raw formation energy: -1047 meV/atom

no.,spin magnetization (μB/f.u.),volume (A^3/atom)
1,1.25,28.0
2,5.70,26.7
3,0.00,9.5
4,0.00,27.7
5,0.00,19.1
6,0.00,17.3
7,0.00,14.4
8,0.01,20.9
9,0.00,28.2
10,0.77,22.4
11,0.00,13.6
12,0.00,26.0